1.
The following is a PBE-GGA calculation of an optimized crystal structure of RbPbS2, from Alexandria.

abc: 3.6303 3.6303 8.0681
angles: 90.00 90.00 90.00
Closest atoms and distances in Å follow each position.
Sites, in units of the cell vectors:
Rb1 0.0000 0.0000 0.0000  8 S 3.45, 4 Rb 3.63
Pb1 0.0000 0.0000 0.5000  8 S 3.10
S1 0.5000 0.5000 0.2854  4 Pb 3.10, 4 Rb 3.45, 1 S 3.46
S2 0.5000 0.5000 0.7146  4 Pb 3.10, 4 Rb 3.45, 1 S 3.46

Output
- DOS(E_F) (states/eV per cell) = 3.18
- formation energy from raw total energies (eV/atom) = -0.433
- electronic total energy (Ry per atom) = -0.269

---

2.
The following is a PBE-GGA calculation of an optimized crystal structure of Rb2Pb2S3, from Alexandria.

abc: 7.4932 8.3295 7.9771
angles: 90.00 101.07 90.00
Closest atoms and distances in Å follow each position.
Sites, in units of the cell vectors:
Rb1 0.2068 0.1546 0.3732  5 S 3.34-3.51
Rb2 0.2068 0.3454 0.8732  5 S 3.34-3.51
Rb3 0.7932 0.6546 0.1268  5 S 3.34-3.51
Rb4 0.7932 0.8454 0.6268  5 S 3.34-3.51
Pb1 0.3146 0.6596 0.4713  3 S 2.70-2.75
Pb2 0.3146 0.8404 0.9713  3 S 2.70-2.75
Pb3 0.6854 0.1596 0.0287  3 S 2.70-2.75
Pb4 0.6854 0.3404 0.5287  3 S 2.70-2.75
S1 0.0000 0.0000 0.0000  2 Pb 2.75
S2 0.0000 0.5000 0.5000  2 Pb 2.75
S3 0.4477 0.0406 0.7592  2 Pb 2.70
S4 0.4477 0.4594 0.2592  2 Pb 2.70
S5 0.5523 0.5406 0.7408  2 Pb 2.70
S6 0.5523 0.9594 0.2408  2 Pb 2.70

Output
- formation energy from raw total energies (eV/atom) = -0.772
- electronic total energy (Ry per atom) = -0.285

---

3.
The following is a PBE-GGA calculation of an optimized crystal structure of RbPb3S3, from Alexandria.

abc: 8.8538 8.8538 8.8538
angles: 59.18 59.18 59.18
Closest atoms and distances in Å follow each position.
Sites, in units of the cell vectors:
Rb1 0.1738 0.1738 0.1738  6 S 3.34-3.45
Rb2 0.8262 0.8262 0.8262  6 S 3.34-3.45
Pb1 0.1616 0.6587 0.3349  3 S 2.67-2.96
Pb2 0.3349 0.1616 0.6587  3 S 2.67-2.96
Pb3 0.3413 0.6651 0.8384  3 S 2.67-2.96
Pb4 0.6587 0.3349 0.1616  3 S 2.67-2.96
Pb5 0.6651 0.8384 0.3413  3 S 2.67-2.96
Pb6 0.8384 0.3413 0.6651  3 S 2.67-2.96
S1 0.0124 0.6057 0.1771  3 Pb 2.67-2.96
S2 0.1771 0.0124 0.6057  3 Pb 2.67-2.96
S3 0.3943 0.8229 0.9876  3 Pb 2.67-2.96
S4 0.6057 0.1771 0.0124  3 Pb 2.67-2.96
S5 0.8229 0.9876 0.3943  3 Pb 2.67-2.96
S6 0.9876 0.3943 0.8229  3 Pb 2.67-2.96

Output
- DOS(E_F) (states/eV per cell) = 3.72
- formation energy from raw total energies (eV/atom) = -0.517
- electronic total energy (Ry per atom) = -0.295